Record 1
Compound: In2Sn2Au7
Source: Alexandria
Functional: PBE
Structure: optimized geometry

Cell lengths 6.6727, 6.4530, 6.4530 Å; angles 109.16, 99.13, 99.13 degrees
Last column: nearest neighbours and their distance in Å.
Sites, in units of the cell vectors:
Au: 0.1658 0.4017 0.9265  1 In 2.78, 4 Au 2.82-2.88, 2 Sn 2.83-2.87
Au: 0.6549 0.6766 0.6766  4 Au 2.85-2.88, 2 Sn 2.93, 1 In 3.06
Sn: 0.5000 0.2570 0.7430  6 Au 2.83-2.93
Au: 0.3451 0.3234 0.3234  4 Au 2.85-2.88, 2 Sn 2.93, 1 In 3.06
In: 0.7946 0.2970 0.2970  4 Au 2.78-3.06
Au: 0.1658 0.9265 0.4017  1 In 2.78, 4 Au 2.82-2.88, 2 Sn 2.83-2.87
Au: 0.8342 0.0735 0.5983  1 In 2.78, 4 Au 2.82-2.88, 2 Sn 2.83-2.87
Sn: 0.5000 0.7430 0.2570  6 Au 2.83-2.93
Au: 0.8342 0.5983 0.0735  1 In 2.78, 4 Au 2.82-2.88, 2 Sn 2.83-2.87
Au: 0.0000 0.0000 0.0000  6 Au 2.85-2.87, 2 In 2.91
In: 0.2054 0.7030 0.7030  4 Au 2.78-3.06

Properties
* formation energy from the elements: -0.0570 eV/atom
* space group: C2/m, No. 12
* energy relative to the lowest polymorph listed for this composition: 55 meV/atom
* total magnetic moment: 0.00 Bohr magnetons per cell


Record 2
Compound: Ti2TlIr2
Source: Alexandria
Functional: PBE
Structure: optimized geometry

Cell lengths 7.5945, 7.5945, 2.9668 Å; angles 90.00, 90.00, 90.00 degrees
Last column: nearest neighbours and their distance in Å.
Sites, in units of the cell vectors:
Ir: 0.1326 0.3674 0.0000  6 Ti 2.66-2.70, 3 Ir 2.85-2.97, 2 Tl 2.97
Ir: 0.8674 0.6326 0.0000  6 Ti 2.66-2.70, 3 Ir 2.85-2.97, 2 Tl 2.97
Ti: 0.8423 0.3423 0.5000  6 Ir 2.66-2.70, 2 Ti 2.97
Tl: 0.5000 0.5000 0.0000  4 Ir 2.97, 2 Tl 2.97, 8 Ti 3.22
Ti: 0.3423 0.1577 0.5000  6 Ir 2.66-2.70, 2 Ti 2.97
Ti: 0.1577 0.6577 0.5000  6 Ir 2.66-2.70, 2 Ti 2.97
Ti: 0.6577 0.8423 0.5000  6 Ir 2.66-2.70, 2 Ti 2.97
Tl: 0.0000 0.0000 0.0000  4 Ir 2.97, 2 Tl 2.97, 8 Ti 3.22
Ir: 0.6326 0.1326 0.0000  6 Ti 2.66-2.70, 3 Ir 2.85-2.97, 2 Tl 2.97
Ir: 0.3674 0.8674 0.0000  6 Ti 2.66-2.70, 3 Ir 2.85-2.97, 2 Tl 2.97

Properties
* formation energy from the elements: -0.5092 eV/atom
* space group: P4/mbm, No. 127
* energy relative to the lowest polymorph listed for this composition: 0 meV/atom
* total magnetic moment: 0.00 Bohr magnetons per cell


Record 3
Compound: Ce9In2Ga
Source: Alexandria
Functional: PBE
Structure: optimized geometry

Cell lengths 4.7533, 4.7533, 14.2319 Å; angles 90.00, 90.00, 90.00 degrees
Last column: nearest neighbours and their distance in Å.
Sites, in units of the cell vectors:
Ce: 0.5000 0.0000 0.5000  8 Ce 3.36-3.40, 4 In 3.40
Ce: 0.5000 0.5000 0.3289  4 In 3.36, 8 Ce 3.40
Ce: 0.5000 0.0000 0.8418  8 Ce 3.27-3.40, 2 Ga 3.27, 2 In 3.41
Ga: 0.0000 0.0000 0.0000  12 Ce 3.27-3.36
Ce: 0.0000 0.5000 0.5000  8 Ce 3.36-3.40, 4 In 3.40
In: 0.0000 0.0000 0.3296  12 Ce 3.36-3.41
Ce: 0.5000 0.5000 0.0000  8 Ce 3.27, 4 Ga 3.36
Ce: 0.5000 0.5000 0.6711  4 In 3.36, 8 Ce 3.40
Ce: 0.0000 0.5000 0.1582  8 Ce 3.27-3.40, 2 Ga 3.27, 2 In 3.41
Ce: 0.5000 0.0000 0.1582  8 Ce 3.27-3.40, 2 Ga 3.27, 2 In 3.41
Ce: 0.0000 0.5000 0.8418  8 Ce 3.27-3.40, 2 Ga 3.27, 2 In 3.41
In: 0.0000 0.0000 0.6704  12 Ce 3.36-3.41

Properties
* formation energy from the elements: -0.2086 eV/atom
* space group: P4/mmm, No. 123
* total magnetic moment: 7.88 Bohr magnetons per cell


Record 4
Compound: RbCuTcC2
Source: Alexandria
Functional: PBE
Structure: optimized geometry

Cell lengths 4.3662, 4.7008, 4.3662 Å; angles 90.00, 90.00, 90.00 degrees
Last column: nearest neighbours and their distance in Å.
Sites, in units of the cell vectors:
C: 0.5000 0.0000 0.0000  2 Rb 2.18
C: 0.0000 0.0000 0.5000  2 Rb 2.18
Rb: 0.0000 0.0000 0.0000  4 C 2.18, 2 Cu 2.35
Cu: 0.0000 0.5000 0.0000  2 Rb 2.35
Tc: 0.5000 0.5000 0.5000  4 Cu 3.09, 8 C 3.21

Properties
* formation energy from the elements: 4.0927 eV/atom
* space group: P4/mmm, No. 123
* total magnetic moment: 0.54 Bohr magnetons per cell


Record 5
Compound: Ac2InTe
Source: Alexandria
Functional: PBE
Structure: optimized geometry

Cell lengths 4.4175, 4.4175, 9.4901 Å; angles 76.54, 76.54, 60.00 degrees
Last column: nearest neighbours and their distance in Å.
Sites, in units of the cell vectors:
Ac: 0.0837 0.0837 0.7490  3 Te 3.41, 3 In 3.43
Te: 0.4995 0.4995 0.5014  6 Ac 3.41-3.43
Ac: 0.2499 0.2499 0.2503  3 Te 3.43, 3 In 3.43
In: 0.6669 0.6669 0.9993  6 Ac 3.43

Properties
* raw formation energy: -0.8403 eV per atom
* space group: R3m, No. 160
* energy relative to the lowest polymorph listed for this composition: 137 meV/atom
* total magnetic moment: 0.00 Bohr magnetons per cell


Record 6
Compound: Tb4Sb2SN2
Source: Alexandria
Functional: PBE
Structure: optimized geometry

Cell lengths 4.0863, 7.6785, 7.5587 Å; angles 108.56, 105.68, 90.00 degrees
Last column: nearest neighbours and their distance in Å.
Sites, in units of the cell vectors:
N: 0.6740 0.9943 0.3481  4 Tb 2.17-2.31
N: 0.3260 0.0057 0.6519  4 Tb 2.17-2.31
Tb: 0.7885 0.8596 0.5770  3 N 2.23-2.31
Tb: 0.4687 0.2161 0.9375  1 N 2.17
Tb: 0.2115 0.1404 0.4230  3 N 2.23-2.31
Sb: 0.8902 0.4674 0.7805  1 Sb 3.07, 4 Tb 3.27-3.32
Sb: 0.1098 0.5326 0.2195  1 Sb 3.07, 4 Tb 3.27-3.32
S: 0.0000 0.0000 0.0000  6 Tb 2.76-2.91
Tb: 0.5313 0.7839 0.0625  1 N 2.17

Properties
* raw formation energy: -1.3795 eV per atom
* space group: C2/m, No. 12
* total magnetic moment: 0.00 Bohr magnetons per cell


Record 7
Compound: TaAlTe
Source: Alexandria
Functional: PBE
Structure: optimized geometry

Cell lengths 4.6008, 4.6008, 4.6008 Å; angles 60.00, 60.00, 60.00 degrees
Last column: nearest neighbours and their distance in Å.
Sites, in units of the cell vectors:
Te: 0.7500 0.7500 0.7500  4 Ta 2.82, 4 Al 2.82
Ta: 0.5000 0.5000 0.5000  4 Te 2.82
Al: 0.0000 0.0000 0.0000  4 Te 2.82

Properties
* raw formation energy: 0.7430 eV per atom
* space group: F-43m, No. 216
* energy relative to the lowest polymorph listed for this composition: 774 meV/atom
* total magnetic moment: 0.00 Bohr magnetons per cell


Record 8
Compound: Er6Te5S
Source: Alexandria
Functional: PBE
Structure: optimized geometry

Cell lengths 7.3242, 8.5120, 7.3932 Å; angles 107.00, 99.56, 124.88 degrees
Last column: nearest neighbours and their distance in Å.
Sites, in units of the cell vectors:
Te: 0.6790 0.1790 0.3581  6 Er 3.03-3.28
Te: 0.3210 0.8210 0.6419  6 Er 3.03-3.28
Er: 0.1487 0.9291 0.2915  1 S 2.63
Er: 0.1428 0.3624 0.2915  1 S 2.63
Er: 0.4423 0.2100 0.0000  1 S 2.66
Er: 0.8513 0.0709 0.7085  1 S 2.63
Te: 0.0000 0.5000 0.0000  6 Er 3.04-3.35
Te: 0.3366 0.3366 0.6732  6 Er 3.05-3.07
Er: 0.5577 0.7900 0.0000  1 S 2.66
Er: 0.8572 0.6376 0.7085  1 S 2.63
S: 0.0000 0.0000 0.0000  6 Er 2.63-2.66
Te: 0.6634 0.6634 0.3268  6 Er 3.05-3.07

Properties
* raw formation energy: -1.3620 eV per atom
* space group: C2/m, No. 12
* total magnetic moment: 0.00 Bohr magnetons per cell